A geometry-optimized LiMo2Pb structure, computed with PBE-GGA.

abc: 3.763 3.763 20.547
angles: 90.00 90.00 90.00
Space group I-42d (No. 122)
Symmetry-distinct sites (fractional):
Li1 0.000 0.000 0.000 [4 per cell]
Mo1 0.234 0.250 0.125 [8 per cell]
Pb1 0.000 0.000 0.500 [4 per cell]

Results
calculated volume	18.19	Å³/atom
E_tot	-98.789	eV per cell
DOS(E_F)	8.87	states/eV/cell
total moment	0.00	μB per cell
calculated formation energy	0.647	eV per atom